# 1
Computed, not measured: an optimized crystal structure of Er2LuPb at the PBE level of DFT.

## Properties
Fermi-level density of states (states/eV/cell): 3.541
Total DFT energy (no corrections) (eV per atom): -4.541
Polymorph energy (0 for the lowest one) (meV per atom): 39
Formation enthalpy at 0 K (eV per atom): -0.20

Cell: 3.600 3.600 9.031 Å, 90.00 90.00 90.00°
Sites, in units of the cell vectors:
Pb1 0.500 0.500 0.000
Lu1 0.500 0.500 0.500
Er1 0.000 0.000 0.760
Er2 0.000 0.000 0.240



# 2
Computed, not measured: an optimized crystal structure of ErLu2Pb at the PBE level of DFT.

## Properties
Fermi-level density of states (states/eV/cell): 5.667
Total DFT energy (no corrections) (eV per atom): -4.185
Polymorph energy (0 for the lowest one) (meV per atom): 371
Formation enthalpy at 0 K (eV per atom): 0.14

Cell: 3.443 3.443 11.996 Å, 81.75 81.75 60.00°
Each line ends with the local moment (μB).
Sites, in units of the cell vectors:
Lu1 0.093 0.093 0.721  0.15
Lu2 0.907 0.907 0.279  0.15
Er1 0.000 0.000 0.000  0.36
Pb1 0.500 0.500 0.500  0.00



# 3
Computed, not measured: an optimized crystal structure of Er2LuPb at the PBE level of DFT.

## Properties
Fermi-level density of states (states/eV/cell): 5.027
Total DFT energy (no corrections) (eV per atom): -4.580
Polymorph energy (0 for the lowest one) (meV per atom): 0
Formation enthalpy at 0 K (eV per atom): -0.24

Cell: 4.823 4.798 4.798 Å, 90.00 90.00 90.00°
Each line ends with the local moment (μB).
Sites, in units of the cell vectors:
Pb1 0.500 0.000 0.000  0.00
Er1 0.000 0.500 0.000  0.20
Er2 0.000 0.000 0.500  0.20
Lu1 0.500 0.500 0.500  0.18



# 4
Computed, not measured: an optimized crystal structure of ErLu2Pb at the PBE level of DFT.

## Properties
Fermi-level density of states (states/eV/cell): 3.723
Total DFT energy (no corrections) (eV per atom): -4.523
Polymorph energy (0 for the lowest one) (meV per atom): 33
Formation enthalpy at 0 K (eV per atom): -0.19

Cell: 3.600 3.600 8.924 Å, 90.00 90.00 90.00°
Sites, in units of the cell vectors:
Pb1 0.500 0.500 0.000
Er1 0.500 0.500 0.500
Lu1 0.000 0.000 0.762
Lu2 0.000 0.000 0.238